No. 1
A crystal of KSi2Ag2 relaxed with PBEsol. Source: Alexandria via LeMat-Bulk, functional SCAN.

Formation energy without anion corrections = 0.5 eV per formula unit

a = 4.4976 Å, b = 4.4976 Å, c = 9.8753 Å
α = 90.00°, β = 90.00°, γ = 90.00°
Space group I4/mmm (No. 139)
Inequivalent atoms, fractional coordinates:
1 K 0.0000 0.0000 0.0000 [2 per cell]
2 Si 0.0000 0.0000 0.3816 [4 per cell]
3 Ag 0.0000 0.5000 0.2500 [4 per cell]

No. 2
A crystal of KSiAg2 relaxed with PBEsol. Source: Alexandria via LeMat-Bulk, functional SCAN.

Formation energy without anion corrections = 2.2 eV per formula unit

a = 6.8650 Å, b = 6.8650 Å, c = 6.8650 Å
α = 90.00°, β = 90.00°, γ = 90.00°
Space group F-43m (No. 216)
Inequivalent atoms, fractional coordinates:
1 K 0.0000 0.0000 0.0000 [4 per cell]
2 Si 0.2500 0.2500 0.7500 [4 per cell]
3 Ag 0.0000 0.0000 0.5000 [4 per cell]
4 Ag 0.2500 0.2500 0.2500 [4 per cell]

No. 3
A crystal of KSiAg2 relaxed with PBEsol. Source: Alexandria via LeMat-Bulk, functional SCAN.

Formation energy without anion corrections = 1.9 eV per formula unit

a = 3.0516 Å, b = 3.0516 Å, c = 29.6883 Å
α = 90.00°, β = 90.00°, γ = 120.00°
Space group R-3m (No. 166, hexagonal axes)
Inequivalent atoms, fractional coordinates:
1 K 0.0000 0.0000 0.0000 [3 per cell]
2 Si 0.0000 0.0000 0.5000 [3 per cell]
3 Ag 0.0000 0.0000 0.2355 [6 per cell]

No. 4
A crystal of K2SiAgSn relaxed with PBEsol. Source: Alexandria via LeMat-Bulk, functional SCAN.

Formation energy without anion corrections = 1.7 eV per formula unit

a = 5.9470 Å, b = 5.9470 Å, c = 4.6819 Å
α = 90.00°, β = 90.00°, γ = 90.00°
Space group P4/mmm (No. 123)
Inequivalent atoms, fractional coordinates:
1 K 0.0000 0.5000 0.0000 [2 per cell]
2 Si 0.0000 0.0000 0.5000 [1 per cell]
3 Ag 0.0000 0.0000 0.0000 [1 per cell]
4 Sn 0.5000 0.5000 0.5000 [1 per cell]

No. 5
A crystal of K2ZrSiAg relaxed with PBEsol. Source: Alexandria via LeMat-Bulk, functional SCAN.

Formation energy without anion corrections = 7.3 eV per formula unit

a = 6.3146 Å, b = 6.3146 Å, c = 5.1023 Å
α = 90.00°, β = 90.00°, γ = 90.00°
Space group P4/mmm (No. 123)
Inequivalent atoms, fractional coordinates:
1 K 0.0000 0.5000 0.0000 [2 per cell]
2 Zr 0.0000 0.0000 0.0000 [1 per cell]
3 Si 0.5000 0.5000 0.5000 [1 per cell]
4 Ag 0.0000 0.0000 0.5000 [1 per cell]

No. 6
A crystal of KAg2Sn2 relaxed with PBEsol. Source: Alexandria via LeMat-Bulk, functional SCAN.

Formation energy = -0.1163 eV per atom

a = 4.8148 Å, b = 4.8148 Å, c = 11.1166 Å
α = 90.00°, β = 90.00°, γ = 90.00°
Space group I4/mmm (No. 139)
Inequivalent atoms, fractional coordinates:
1 K 0.0000 0.0000 0.0000 [2 per cell]
2 Ag 0.0000 0.5000 0.2500 [4 per cell]
3 Sn 0.0000 0.0000 0.3706 [4 per cell]

No. 7
A crystal of K2TaAgSn relaxed with PBEsol. Source: Alexandria via LeMat-Bulk, functional SCAN.

Formation energy = 1.4745 eV per atom

a = 6.2939 Å, b = 6.2939 Å, c = 5.0181 Å
α = 90.00°, β = 90.00°, γ = 90.00°
Space group P4/mmm (No. 123)
Inequivalent atoms, fractional coordinates:
1 K 0.0000 0.5000 0.0000 [2 per cell]
2 Ta 0.0000 0.0000 0.0000 [1 per cell]
3 Ag 0.0000 0.0000 0.5000 [1 per cell]
4 Sn 0.5000 0.5000 0.5000 [1 per cell]

No. 8
A crystal of KTi2AgSn relaxed with PBEsol. Source: Alexandria via LeMat-Bulk, functional SCAN.

Formation energy = 0.9198 eV per atom

a = 4.9948 Å, b = 4.9948 Å, c = 5.3372 Å
α = 90.00°, β = 90.00°, γ = 90.00°
Space group P4/mmm (No. 123)
Inequivalent atoms, fractional coordinates:
1 K 0.0000 0.0000 0.0000 [1 per cell]
2 Ti 0.0000 0.5000 0.5000 [2 per cell]
3 Ag 0.0000 0.0000 0.5000 [1 per cell]
4 Sn 0.5000 0.5000 0.0000 [1 per cell]

Calculated total magnetic moment (μB per formula unit), listed in the same order as above: 0.0 0.0 0.0 0.0 1.1 0.0 2.5 3.7